Entry 1:
First-principles (PBE-GGA) data for an optimized crystal structure of Sm2ThTaN4, as listed in Alexandria.

Values from the calculation:
* raw formation energy: -1.348 eV per atom
* total magnetization: 0.000 μB/atom
* calculated total energy: -72.79 eV/f.u.
* theoretical density: 10.8 g cm⁻³
* N(E_F): 3.69 states/eV/cell

The structure in CIF format:
```
data_Sm2ThTaN4
_cell_length_a 6.006
_cell_length_b 3.427
_cell_length_c 6.056
_cell_angle_alpha 90.00
_cell_angle_beta 108.46
_cell_angle_gamma 90.00
_space_group_name_H-M_alt 'P 1 2/m 1'
_space_group_IT_number 10
_space_group_name_Hall '-P 2y'
loop_
_atom_site_label
_atom_site_fract_x
_atom_site_fract_y
_atom_site_fract_z
_atom_site_occupancy
Sm1 0.000 0.000 0.000 1
Sm2 0.000 0.500 0.500 1
Th1 0.500 0.000 0.500 1
Ta1 0.500 0.500 0.000 1
N1 0.278 0.500 0.224 1
N2 0.290 0.000 0.787 1
```

Entry 2:
First-principles (PBE-GGA) data for an optimized crystal structure of Sm2TmTaN4, as listed in Alexandria.

Values from the calculation:
* raw formation energy: -1.470 eV per atom
* total magnetization: 0.000 μB/atom
* calculated total energy: -70.82 eV/f.u.
* theoretical density: 10.6 g cm⁻³
* N(E_F): 1.78 states/eV/cell

The structure in CIF format:
```
data_Sm2TmTaN4
_cell_length_a 5.840
_cell_length_b 3.366
_cell_length_c 5.939
_cell_angle_alpha 90.00
_cell_angle_beta 108.84
_cell_angle_gamma 90.00
_space_group_name_H-M_alt 'P 1 2/m 1'
_space_group_IT_number 10
_space_group_name_Hall '-P 2y'
loop_
_atom_site_label
_atom_site_fract_x
_atom_site_fract_y
_atom_site_fract_z
_atom_site_occupancy
Sm1 0.000 0.000 0.000 1
Sm2 0.500 0.500 0.000 1
Tm1 0.000 0.500 0.500 1
Ta1 0.500 0.000 0.500 1
N1 0.261 0.000 0.719 1
N2 0.276 0.500 0.285 1
```

Entry 3:
First-principles (PBE-GGA) data for an optimized crystal structure of SmTm2TaN4, as listed in Alexandria.

Values from the calculation:
* raw formation energy: -1.503 eV per atom
* total magnetization: 0.000 μB/atom
* calculated total energy: -70.84 eV/f.u.
* theoretical density: 11.3 g cm⁻³
* N(E_F): 2.03 states/eV/cell

The structure in CIF format:
```
data_SmTm2TaN4
_cell_length_a 5.790
_cell_length_b 3.343
_cell_length_c 5.845
_cell_angle_alpha 90.00
_cell_angle_beta 109.12
_cell_angle_gamma 90.00
_space_group_name_H-M_alt 'P 1 2/m 1'
_space_group_IT_number 10
_space_group_name_Hall '-P 2y'
loop_
_atom_site_label
_atom_site_fract_x
_atom_site_fract_y
_atom_site_fract_z
_atom_site_occupancy
Sm1 0.000 0.000 0.000 1
Tm1 0.500 0.000 0.500 1
Tm2 0.500 0.500 0.000 1
Ta1 0.000 0.500 0.500 1
N1 0.237 0.000 0.727 1
N2 0.245 0.500 0.275 1
```

Entry 4:
First-principles (PBE-GGA) data for an optimized crystal structure of Sm2TaVN5, as listed in Alexandria.

Values from the calculation:
* raw formation energy: -1.264 eV per atom
* total magnetization: 0.064 μB/atom
* calculated total energy: -83.41 eV/f.u.
* theoretical density: 8.8 g cm⁻³
* N(E_F): 8.97 states/eV/cell

The structure in CIF format:
```
data_Sm2TaVN5
_cell_length_a 3.299
_cell_length_b 13.323
_cell_length_c 10.319
_cell_angle_alpha 90.00
_cell_angle_beta 90.00
_cell_angle_gamma 90.00
_space_group_name_H-M_alt 'C m c 21'
_space_group_IT_number 36
_space_group_name_Hall 'C 2c -2'
loop_
_atom_site_label
_atom_site_fract_x
_atom_site_fract_y
_atom_site_fract_z
_atom_site_occupancy
Sm1 0.000 0.110 0.000 1
Sm2 0.000 0.143 0.605 1
Ta1 0.000 0.217 0.319 1
V1 0.000 0.475 0.767 1
N1 0.000 0.047 0.349 1
N2 0.000 0.285 0.955 1
N3 0.000 0.316 0.689 1
N4 0.000 0.366 0.309 1
N5 0.000 0.493 0.098 1
```

Entry 5:
First-principles (PBE-GGA) data for an optimized crystal structure of Sm3Zr3TaN8, as listed in Alexandria.

Values from the calculation:
* raw formation energy: -1.476 eV per atom
* total magnetization: 0.000 μB/atom
* calculated total energy: -140.39 eV/f.u.
* theoretical density: 7.9 g cm⁻³
* N(E_F): 3.84 states/eV/cell

The structure in CIF format:
```
data_Sm3Zr3TaN8
_cell_length_a 6.6009
_cell_length_b 6.6009
_cell_length_c 17.0491
_cell_angle_alpha 90.00
_cell_angle_beta 90.00
_cell_angle_gamma 120.00
_space_group_name_H-M_alt 'R -3 m'
_space_group_IT_number 166
_space_group_name_Hall '-R 3 2"'
loop_
_atom_site_label
_atom_site_fract_x
_atom_site_fract_y
_atom_site_fract_z
_atom_site_occupancy
Sm1 0.0000 0.5000 0.0000 1
Zr1 0.0000 0.5000 0.5000 1
Ta1 0.0000 0.0000 0.5000 1
N1 0.0000 0.0000 0.2408 1
N2 0.0192 0.5096 0.2358 1
```

Entry 6:
First-principles (PBE-GGA) data for an optimized crystal structure of Sm2ZrTaN4, as listed in Alexandria.

Values from the calculation:
* raw formation energy: -1.439 eV per atom
* total magnetization: 0.000 μB/atom
* calculated total energy: -74.65 eV/f.u.
* theoretical density: 9.7 g cm⁻³
* N(E_F): 2.17 states/eV/cell

The structure in CIF format:
```
data_Sm2ZrTaN4
_cell_length_a 5.756
_cell_length_b 3.315
_cell_length_c 5.929
_cell_angle_alpha 90.00
_cell_angle_beta 108.70
_cell_angle_gamma 90.00
_space_group_name_H-M_alt 'P 1 2/m 1'
_space_group_IT_number 10
_space_group_name_Hall '-P 2y'
loop_
_atom_site_label
_atom_site_fract_x
_atom_site_fract_y
_atom_site_fract_z
_atom_site_occupancy
Sm1 0.000 0.000 0.000 1
Sm2 0.500 0.500 0.000 1
Zr1 0.000 0.500 0.500 1
Ta1 0.500 0.000 0.500 1
N1 0.248 0.000 0.715 1
N2 0.273 0.500 0.289 1
```

Entry 7:
First-principles (PBE-GGA) data for an optimized crystal structure of TbSmN2, as listed in Alexandria.

Values from the calculation:
* raw formation energy: -1.565 eV per atom
* total magnetization: 0.000 μB/atom
* calculated total energy: -32.26 eV/f.u.
* theoretical density: 8.9 g cm⁻³
* N(E_F): 1.97 states/eV/cell

The structure in CIF format:
```
data_TbSmN2
_cell_length_a 11.205
_cell_length_b 5.013
_cell_length_c 5.014
_cell_angle_alpha 90.00
_cell_angle_beta 116.58
_cell_angle_gamma 90.00
_space_group_name_H-M_alt 'C 1 2/m 1'
_space_group_IT_number 12
_space_group_name_Hall '-C 2y'
loop_
_atom_site_label
_atom_site_fract_x
_atom_site_fract_y
_atom_site_fract_z
_atom_site_occupancy
Tb1 0.125 0.000 0.376 1
Sm1 0.125 0.500 0.876 1
N1 0.122 0.000 0.869 1
N2 0.128 0.500 0.376 1
```

Entry 8:
First-principles (PBE-GGA) data for an optimized crystal structure of TbSmN2, as listed in Alexandria.

Values from the calculation:
* raw formation energy: -1.218 eV per atom
* total magnetization: 0.000 μB/atom
* calculated total energy: -30.87 eV/f.u.
* theoretical density: 8.7 g cm⁻³
* N(E_F): 0.13 states/eV/cell

The structure in CIF format:
```
data_TbSmN2
_cell_length_a 3.4806
_cell_length_b 3.4806
_cell_length_c 6.1231
_cell_angle_alpha 90.00
_cell_angle_beta 90.00
_cell_angle_gamma 120.00
_space_group_name_H-M_alt 'P -3 m 1'
_space_group_IT_number 164
_space_group_name_Hall '-P 3 2"'
loop_
_atom_site_label
_atom_site_fract_x
_atom_site_fract_y
_atom_site_fract_z
_atom_site_occupancy
Tb1 0.0000 0.0000 0.0000 1
Sm1 0.0000 0.0000 0.5000 1
N1 0.3333 0.6667 0.2447 1
```

Entry 9:
First-principles (PBE-GGA) data for an optimized crystal structure of TbSm3N3, as listed in Alexandria.

Values from the calculation:
* raw formation energy: -0.990 eV per atom
* total magnetization: 0.000 μB/atom
* calculated total energy: -50.69 eV/f.u.
* theoretical density: 7.1 g cm⁻³
* N(E_F): 10.72 states/eV/cell

The structure in CIF format:
```
data_TbSm3N3
_cell_length_a 7.369
_cell_length_b 10.830
_cell_length_c 7.919
_cell_angle_alpha 90.00
_cell_angle_beta 104.21
_cell_angle_gamma 90.00
_space_group_name_H-M_alt 'C 1 2/m 1'
_space_group_IT_number 12
_space_group_name_Hall '-C 2y'
loop_
_atom_site_label
_atom_site_fract_x
_atom_site_fract_y
_atom_site_fract_z
_atom_site_occupancy
Tb1 0.191 0.000 0.203 1
Sm1 0.000 0.294 0.500 1
Sm2 0.000 0.338 0.000 1
Sm3 0.182 0.000 0.639 1
N1 0.005 0.500 0.203 1
N2 0.164 0.134 0.406 1
```

Entry 10:
First-principles (PBE-GGA) data for an optimized crystal structure of TbSmN2, as listed in Alexandria.

Values from the calculation:
* raw formation energy: -1.327 eV per atom
* total magnetization: 0.000 μB/atom
* calculated total energy: -31.31 eV/f.u.
* theoretical density: 8.8 g cm⁻³

The structure in CIF format:
```
data_TbSmN2
_cell_length_a 3.4805
_cell_length_b 3.4805
_cell_length_c 18.1075
_cell_angle_alpha 90.00
_cell_angle_beta 90.00
_cell_angle_gamma 120.00
_space_group_name_H-M_alt 'R 3 m'
_space_group_IT_number 160
_space_group_name_Hall 'R 3 -2"'
loop_
_atom_site_label
_atom_site_fract_x
_atom_site_fract_y
_atom_site_fract_z
_atom_site_occupancy
Tb1 0.0000 0.0000 0.0000 1
Sm1 0.0000 0.0000 0.1704 1
N1 0.0000 0.0000 0.5806 1
N2 0.0000 0.0000 0.7462 1
```

Entry 11:
First-principles (PBE-GGA) data for an optimized crystal structure of TbSm5N6, as listed in Alexandria.

Values from the calculation:
* raw formation energy: -1.510 eV per atom
* total magnetization: 0.000 μB/atom
* calculated total energy: -96.30 eV/f.u.
* theoretical density: 8.5 g cm⁻³
* N(E_F): 0.94 states/eV/cell

The structure in CIF format:
```
data_TbSm5N6
_cell_length_a 6.188
_cell_length_b 10.719
_cell_length_c 6.188
_cell_angle_alpha 90.00
_cell_angle_beta 109.47
_cell_angle_gamma 90.00
_space_group_name_H-M_alt 'C 1 2/m 1'
_space_group_IT_number 12
_space_group_name_Hall '-C 2y'
loop_
_atom_site_label
_atom_site_fract_x
_atom_site_fract_y
_atom_site_fract_z
_atom_site_occupancy
Tb1 0.000 0.000 0.000 1
Sm1 0.000 0.166 0.500 1
Sm2 0.000 0.333 0.000 1
Sm3 0.000 0.500 0.500 1
N1 0.247 0.000 0.752 1
N2 0.248 0.165 0.248 1
```